Compound: CoTcPt2
Source: Alexandria via LeMat-Bulk
Functional: PBE-GGA
Structure: relaxed

Structure (POSCAR):
```
CoTcPt2
1.0
3.8152 0.0000 0.0000
0.0000 3.8152 0.0000
0.0000 0.0000 3.9248
Co Tc Pt
1 1 2
Direct
0.0000 0.0000 0.0000
0.5000 0.5000 0.0000
0.0000 0.5000 0.5000
0.5000 0.0000 0.5000
```

The final energy is -29.52 eV for the cell shown. The space group is P4/mmm, No. 123. The value obtained for the offset from the most stable computed form is 109.3 meV per atom. The value obtained for the energy of formation is 0.0 eV per formula unit.